[1]
Density functional theory data (PBE) for an optimized crystal structure of BaMgTe2I.

Output
Crystal system: tetragonal
E above lowest polymorph (eV/f.u.): 0.00
E_tot (eV per atom): -3.24

Cell: 5.539 5.539 5.986 Å, 90.00 90.00 90.00°
Element x y z (fractional)
I 0.000 0.000 0.500
Ba 0.500 0.500 0.500
Te 0.500 0.000 0.000
Te 0.000 0.500 0.000
Mg 0.000 0.000 0.000

[2]
Density functional theory data (PBE) for an optimized crystal structure of Ga2AgO.

Output
Crystal system: tetragonal
E above lowest polymorph (eV/f.u.): 0.00
E_tot (eV per atom): -3.92

Cell: 6.116 6.116 5.663 Å, 57.32 57.32 90.00°
Element x y z (fractional)
Ga 0.553 0.125 0.250
Ga 0.375 0.447 0.750
Ga 0.875 0.803 0.750
Ga 0.197 0.625 0.250
Ag 0.000 0.000 0.000
Ag 0.750 0.250 0.500
O 0.250 0.750 0.500
O 0.500 0.500 0.000

[3]
Density functional theory data (PBE) for an optimized crystal structure of TmSi2NiOs.

Output
Crystal system: tetragonal
E_tot (eV per atom): -7.24

Cell: 3.962 3.962 5.718 Å, 110.27 110.27 90.00°
Element x y z (fractional)
Tm 0.000 0.000 0.000
Os 0.250 0.750 0.500
Ni 0.750 0.250 0.500
Si 0.622 0.622 0.243
Si 0.378 0.378 0.757

[4]
Density functional theory data (PBE) for an optimized crystal structure of Ac3Pt2O.

Output
Crystal system: monoclinic
E above lowest polymorph (eV/f.u.): 0.16
E_tot (eV per atom): -6.49

Cell: 6.189 8.583 7.620 Å, 111.77 113.96 90.00°
Element x y z (fractional)
Ac 0.852 0.471 0.687
Ac 0.835 0.971 0.687
Ac 0.165 0.029 0.313
Ac 0.148 0.529 0.313
Ac 0.539 0.750 0.000
Ac 0.461 0.250 0.000
Pt 0.679 0.102 0.339
Pt 0.341 0.398 0.661
Pt 0.659 0.602 0.339
Pt 0.321 0.898 0.661
O 0.933 0.750 0.000
O 0.067 0.250 0.000

[5]
Density functional theory data (PBE) for an optimized crystal structure of ReHgNF2.

Output
Crystal system: tetragonal
E above lowest polymorph (eV/f.u.): 7.76
E_tot (eV per atom): -3.86

Cell: 4.446 4.446 4.361 Å, 90.00 90.00 90.00°
Site moments in Bohr magnetons follow the coordinates.
Element x y z (fractional)
F 0.500 0.000 0.000  0.06
F 0.000 0.500 0.000  0.06
Hg 0.000 0.000 0.000  -0.04
N 0.000 0.000 0.500  -0.55
Re 0.500 0.500 0.500  4.21

[6]
Density functional theory data (PBE) for an optimized crystal structure of V2CoRu2.

Output
Crystal system: tetragonal
E_tot (eV per atom): -8.68
DFT formation energy (eV/atom): 0.1025

Cell: 7.002 7.002 2.863 Å, 90.00 90.00 90.00°
Site moments in Bohr magnetons follow the coordinates.
Element x y z (fractional)
Co 0.000 0.000 0.000  1.62
Co 0.500 0.500 0.000  1.62
Ru 0.641 0.141 0.000  0.10
Ru 0.141 0.359 0.000  0.10
Ru 0.859 0.641 0.000  0.10
Ru 0.359 0.859 0.000  0.10
V 0.839 0.339 0.500  -0.24
V 0.661 0.839 0.500  -0.24
V 0.161 0.661 0.500  -0.24
V 0.339 0.161 0.500  -0.24

[7]
Density functional theory data (PBE) for an optimized crystal structure of La6Pr12Y.

Output
Crystal system: trigonal
E above lowest polymorph (eV/f.u.): 0.00
E_tot (eV per atom): -4.81
DFT formation energy (eV/atom): 0.1087

Cell: 8.865 8.865 8.865 Å, 89.64 89.64 89.64°
Element x y z (fractional)
Pr 0.564 0.219 0.467
Pr 0.436 0.781 0.533
Pr 0.781 0.533 0.436
Pr 0.638 0.979 0.816
Pr 0.816 0.638 0.979
Pr 0.362 0.021 0.184
Pr 0.979 0.816 0.638
Pr 0.467 0.564 0.219
Pr 0.021 0.184 0.362
Pr 0.219 0.467 0.564
Pr 0.184 0.362 0.021
Pr 0.533 0.436 0.781
La 0.700 0.266 0.096
La 0.096 0.700 0.266
La 0.300 0.734 0.904
La 0.904 0.300 0.734
La 0.266 0.096 0.700
La 0.734 0.904 0.300
Y 0.000 0.000 0.000

[8]
Density functional theory data (PBE) for an optimized crystal structure of TaZnAgIr2.

Output
Crystal system: tetragonal
E_tot (eV per atom): -5.33
DFT formation energy (eV/atom): 1.4104

Cell: 4.766 4.766 5.154 Å, 90.00 90.00 90.00°
Element x y z (fractional)
Ag 0.000 0.000 0.500
Ir 0.500 0.000 0.000
Ir 0.000 0.500 0.000
Zn 0.500 0.500 0.500
Ta 0.000 0.000 0.000

[9]
Density functional theory data (PBE) for an optimized crystal structure of Ce2NdDySb5.

Output
Crystal system: tetragonal
E_tot (eV per atom): -4.96

Cell: 5.300 5.300 11.740 Å, 90.00 90.00 90.00°
Site moments in Bohr magnetons follow the coordinates.
Element x y z (fractional)
Sb 0.000 0.000 0.749  -0.03
Sb 0.500 0.000 0.500  -0.01
Sb 0.000 0.000 0.251  -0.03
Sb 0.500 0.500 0.000  -0.03
Sb 0.000 0.500 0.500  -0.01
Dy 0.000 0.000 0.500  -0.01
Ce 0.500 0.500 0.286  0.92
Ce 0.500 0.500 0.714  0.92
Nd 0.000 0.000 0.000  -0.01

[10]
Density functional theory data (PBE) for an optimized crystal structure of TmZn4Os.

Output
Crystal system: cubic
E_tot (eV per atom): -3.67
DFT formation energy (eV/atom): -0.2033

Cell: 5.074 5.074 5.074 Å, 60.00 60.00 60.00°
Element x y z (fractional)
Tm 0.250 0.250 0.250
Zn 0.626 0.626 0.626
Zn 0.121 0.626 0.626
Zn 0.626 0.121 0.626
Zn 0.626 0.626 0.121
Os 0.000 0.000 0.000

[11]
Density functional theory data (PBE) for an optimized crystal structure of AlTl2Au.

Output
Crystal system: trigonal
E above lowest polymorph (eV/f.u.): 0.09
E_tot (eV per atom): -2.97
DFT formation energy (eV/atom): -0.0319

Cell: 9.173 9.173 9.173 Å, 22.72 22.72 22.72°
Element x y z (fractional)
Al 0.485 0.485 0.485
Tl 0.011 0.011 0.011
Tl 0.240 0.240 0.240
Au 0.764 0.764 0.764

[12]
Density functional theory data (PBE) for an optimized crystal structure of ThMg2Pt2.

Output
Crystal system: orthorhombic
E above lowest polymorph (eV/f.u.): 0.04
E_tot (eV per atom): -5.43
DFT formation energy (eV/atom): -0.8963

Cell: 3.902 6.864 8.294 Å, 90.00 90.00 106.52°
Element x y z (fractional)
Mg 0.318 0.636 0.962
Mg 0.872 0.744 0.706
Mg 0.682 0.364 0.462
Mg 0.128 0.256 0.206
Pt 0.033 0.066 0.515
Pt 0.967 0.934 0.015
Pt 0.773 0.546 0.179
Pt 0.227 0.454 0.679
Th 0.408 0.817 0.342
Th 0.592 0.183 0.842

[13]
Density functional theory data (PBE) for an optimized crystal structure of Li3LaGa2.

Output
Crystal system: monoclinic
E above lowest polymorph (eV/f.u.): 0.00
E_tot (eV per atom): -3.13
DFT formation energy (eV/atom): -0.3414

Cell: 4.409 7.076 9.230 Å, 117.47 90.00 108.15°
Element x y z (fractional)
La 0.881 0.761 0.002
La 0.119 0.239 0.998
Li 0.942 0.884 0.592
Li 0.417 0.835 0.318
Li 0.058 0.116 0.408
Li 0.583 0.165 0.682
Li 0.257 0.514 0.418
Li 0.743 0.486 0.582
Ga 0.590 0.180 0.240
Ga 0.410 0.820 0.760
Ga 0.212 0.423 0.739
Ga 0.788 0.577 0.261

[14]
Density functional theory data (PBE) for an optimized crystal structure of Nd6ErCd.

Output
Crystal system: tetragonal
E above lowest polymorph (eV/f.u.): 0.00
E_tot (eV per atom): -4.30
DFT formation energy (eV/atom): -0.0441

Cell: 5.037 5.037 10.260 Å, 90.00 90.00 90.00°
Element x y z (fractional)
Cd 0.000 0.000 0.000
Nd 0.500 0.000 0.246
Nd 0.500 0.000 0.754
Nd 0.500 0.500 0.000
Nd 0.000 0.500 0.246
Nd 0.000 0.500 0.754
Nd 0.500 0.500 0.500
Er 0.000 0.000 0.500

[15]
Density functional theory data (PBE) for an optimized crystal structure of Ho3Er2ScSb6.

Output
Crystal system: monoclinic
E_tot (eV per atom): -5.57

Cell: 4.332 8.663 9.682 Å, 102.86 102.93 90.00°
Element x y z (fractional)
Er 0.834 0.668 0.668
Er 0.166 0.332 0.332
Sb 0.663 0.082 0.326
Sb 0.333 0.417 0.666
Sb 0.001 0.759 0.001
Sb 0.999 0.241 0.999
Sb 0.337 0.918 0.674
Sb 0.667 0.583 0.334
Sc 0.500 0.000 0.000
Ho 0.168 0.834 0.336
Ho 0.832 0.166 0.664
Ho 0.500 0.500 0.000

[16]
Density functional theory data (PBE) for an optimized crystal structure of YIn2SnSe4.

Output
Crystal system: monoclinic
E_tot (eV per atom): -4.57

Cell: 4.166 7.579 7.472 Å, 71.42 90.00 90.00°
Element x y z (fractional)
Sn 0.500 0.500 0.000
Se 0.000 0.262 0.262
Se 0.000 0.738 0.738
Se 0.500 0.276 0.728
Se 0.500 0.724 0.272
Y 0.000 0.500 0.500
In 0.500 0.000 0.500
In 0.000 0.000 0.000

[17]
Density functional theory data (PBE) for an optimized crystal structure of ZrSbPd3.

Output
Crystal system: cubic
E above lowest polymorph (eV/f.u.): 5.24
E_tot (eV per atom): -5.11

Cell: 4.932 4.932 4.932 Å, 90.00 90.00 90.00°
Element x y z (fractional)
Pd 0.000 0.500 0.000
Pd 0.500 0.000 0.000
Pd 0.000 0.000 0.500
Zr 0.000 0.000 0.000
Sb 0.500 0.500 0.500

[18]
Density functional theory data (PBE) for an optimized crystal structure of NdSmNi2.

Output
Crystal system: tetragonal
E_tot (eV per atom): -5.51
DFT formation energy (eV/atom): -0.2519

Cell: 3.438 4.932 4.932 Å, 90.00 90.00 90.00°
Element x y z (fractional)
Nd 0.500 0.500 0.500
Sm 0.500 0.000 0.000
Ni 0.000 0.000 0.500
Ni 0.000 0.500 0.000

[19]
Density functional theory data (PBE) for an optimized crystal structure of MgTl2Sn.

Output
Crystal system: tetragonal
E above lowest polymorph (eV/f.u.): 0.29
E_tot (eV per atom): -2.56
DFT formation energy (eV/atom): 0.0213

Cell: 4.939 4.708 4.708 Å, 90.00 90.00 90.00°
Element x y z (fractional)
Tl 0.000 0.000 0.500
Tl 0.000 0.500 0.000
Sn 0.500 0.500 0.500
Mg 0.500 0.000 0.000

[20]
Density functional theory data (PBE) for an optimized crystal structure of DyThS3.

Output
Crystal system: orthorhombic
E_tot (eV per atom): -6.89

Cell: 3.982 7.438 15.120 Å, 90.00 90.00 90.00°
Element x y z (fractional)
S 0.750 0.652 0.221
S 0.750 0.011 0.893
S 0.250 0.489 0.393
S 0.250 0.848 0.721
S 0.750 0.873 0.434
S 0.750 0.511 0.607
S 0.250 0.627 0.934
S 0.250 0.989 0.107
S 0.750 0.373 0.066
S 0.750 0.152 0.279
S 0.250 0.127 0.566
S 0.250 0.348 0.779
Th 0.750 0.127 0.706
Th 0.750 0.627 0.794
Th 0.250 0.373 0.206
Th 0.250 0.873 0.294
Dy 0.750 0.761 0.044
Dy 0.750 0.261 0.456
Dy 0.250 0.239 0.956
Dy 0.250 0.739 0.544